Compound: Pr2SiGe3Ir4
Source: Alexandria via LeMat-Bulk
Functional: PBE
Structure: relaxed

Summary:
Total energy ... -7.25 eV/atom
Crystal system ... tetragonal
E_form (uncorrected) ... -18.96 kcal/mol of atoms

Cell: 4.276 4.276 10.136 Å, 90.00 90.00 90.00°
Positions (direct):
Pr (0.000, 0.500, 0.243)
Pr (0.500, 0.000, 0.757)
Si (0.500, 0.500, 0.000)
Ge (0.000, 0.000, 0.000)
Ge (0.000, 0.500, 0.633)
Ge (0.500, 0.000, 0.367)
Ir (0.000, 0.000, 0.500)
Ir (0.000, 0.500, 0.878)
Ir (0.500, 0.000, 0.122)
Ir (0.500, 0.500, 0.500)

---

Compound: Pr2SmGe3Ir4
Source: Alexandria via LeMat-Bulk
Functional: PBE
Structure: relaxed

Summary:
Total energy ... -7.10 eV/atom
Crystal system ... tetragonal
Formation energy ... -740 meV/atom

Cell: 4.234 4.234 11.340 Å, 90.00 90.00 90.00°
Positions (direct):
Pr (0.000, 0.500, 0.229)
Pr (0.500, 0.000, 0.771)
Sm (0.000, 0.000, 0.500)
Ge (0.000, 0.500, 0.880)
Ge (0.500, 0.000, 0.120)
Ge (0.500, 0.500, 0.500)
Ir (0.000, 0.000, 0.000)
Ir (0.000, 0.500, 0.663)
Ir (0.500, 0.000, 0.337)
Ir (0.500, 0.500, 0.000)

---

Compound: Pr2Sn3GeIr4
Source: Alexandria via LeMat-Bulk
Functional: PBE
Structure: relaxed

Summary:
Total energy ... -6.74 eV/atom
Crystal system ... tetragonal
Formation energy ... -575 meV/atom

Cell: 4.463 4.463 10.734 Å, 90.00 90.00 90.00°
Positions (direct):
Pr (0.000, 0.500, 0.243)
Pr (0.500, 0.000, 0.757)
Sn (0.000, 0.000, 0.000)
Sn (0.000, 0.500, 0.634)
Sn (0.500, 0.000, 0.366)
Ge (0.500, 0.500, 0.000)
Ir (0.000, 0.000, 0.500)
Ir (0.000, 0.500, 0.877)
Ir (0.500, 0.000, 0.123)
Ir (0.500, 0.500, 0.500)

---

Compound: Pr2SnGe3Ir4
Source: Alexandria via LeMat-Bulk
Functional: PBE
Structure: relaxed

Summary:
Total energy ... -6.99 eV/atom
Crystal system ... tetragonal
Formation energy ... -703 meV/atom

Cell: 4.319 4.319 10.485 Å, 90.00 90.00 90.00°
Positions (direct):
Pr (0.000, 0.500, 0.246)
Pr (0.500, 0.000, 0.754)
Sn (0.000, 0.000, 0.500)
Ge (0.000, 0.500, 0.873)
Ge (0.500, 0.000, 0.127)
Ge (0.500, 0.500, 0.500)
Ir (0.000, 0.000, 0.000)
Ir (0.000, 0.500, 0.640)
Ir (0.500, 0.000, 0.360)
Ir (0.500, 0.500, 0.000)